# K2Ta3Cl9 | Alexandria | meta-GGA SCAN | PBEsol geometry
data_K2Ta3Cl9
_chemical_formula_sum 'K4 Ta6 Cl18'
_cell_length_a 9.4999
_cell_length_b 9.6610
_cell_length_c 9.6610
_cell_angle_alpha 117.65
_cell_angle_beta 102.76
_cell_angle_gamma 102.76
_symmetry_space_group_name_H-M 'P 1'
_symmetry_Int_Tables_number 1
loop_
_symmetry_equiv_pos_as_xyz
'x,y,z'
loop_
_atom_site_label
_atom_site_type_symbol
_atom_site_fract_x
_atom_site_fract_y
_atom_site_fract_z
K1 K 0.1760 0.5535 0.2317
K2 K 0.8240 0.7683 0.4465
K3 K 0.8240 0.4465 0.7683
K4 K 0.1760 0.2317 0.5535
Ta1 Ta 0.3733 0.1210 0.1210
Ta2 Ta 0.6267 0.8790 0.8790
Ta3 Ta 0.6416 0.0468 0.2203
Ta4 Ta 0.3584 0.7797 0.9532
Ta5 Ta 0.3584 0.9532 0.7797
Ta6 Ta 0.6416 0.2203 0.0468
Cl1 Cl 0.5000 0.2076 0.7924
Cl2 Cl 0.1757 0.4990 0.8922
Cl3 Cl 0.1757 0.8922 0.4990
Cl4 Cl 0.8243 0.5010 0.1078
Cl5 Cl 0.7836 0.7266 0.7266
Cl6 Cl 0.2164 0.2734 0.2734
Cl7 Cl 0.5176 0.4074 0.1983
Cl8 Cl 0.4824 0.8017 0.5926
Cl9 Cl 0.4824 0.5926 0.8017
Cl10 Cl 0.5176 0.1983 0.4074
Cl11 Cl 0.1637 0.6792 0.6792
Cl12 Cl 0.8182 0.9122 0.1194
Cl13 Cl 0.8182 0.1194 0.9122
Cl14 Cl 0.1818 0.0878 0.8806
Cl15 Cl 0.1818 0.8806 0.0878
Cl16 Cl 0.5000 0.7924 0.2076
Cl17 Cl 0.8363 0.3208 0.3208
Cl18 Cl 0.8243 0.1078 0.5010
# * space group: No. 12
# * size of the total moment: 0.000 μB per cell
# * raw formation energy: -1.646 eV/atom